Entry 1:
This record from Alexandria describes a geometry-optimized PmYCd2 structure. The functional is GGA-PBE.

Values from the calculation:
Formation enthalpy at 0 K: -332.4 meV per atom

Geometry as CIF:
```
data_PmYCd2
_chemical_formula_sum 'Pm1 Y1 Cd2'
_symmetry_space_group_name_H-M 'P 4/m m m'
_symmetry_Int_Tables_number 123
_symmetry_space_group_name_Hall '-P 4 2'
_cell_length_a 3.764
_cell_length_b 3.764
_cell_length_c 7.702
_cell_angle_alpha 90.00
_cell_angle_beta 90.00
_cell_angle_gamma 90.00
loop_
_atom_site_label
_atom_site_type_symbol
_atom_site_fract_x
_atom_site_fract_y
_atom_site_fract_z
Pm1 Pm 0.000 0.000 0.000
Y1 Y 0.000 0.000 0.500
Cd1 Cd 0.500 0.500 0.262
```

Entry 2:
This record from Alexandria describes a geometry-optimized ZnOs structure. The functional is GGA-PBE.

Values from the calculation:
Formation enthalpy at 0 K: 144.3 meV per atom

Geometry as CIF:
```
data_ZnOs
_chemical_formula_sum 'Zn6 Os6'
_symmetry_space_group_name_H-M 'C 1 m 1'
_symmetry_Int_Tables_number 8
_symmetry_space_group_name_Hall 'C -2y'
_cell_length_a 9.819
_cell_length_b 2.794
_cell_length_c 6.457
_cell_angle_alpha 90.00
_cell_angle_beta 105.62
_cell_angle_gamma 90.00
loop_
_atom_site_label
_atom_site_type_symbol
_atom_site_fract_x
_atom_site_fract_y
_atom_site_fract_z
Zn1 Zn 0.000 0.000 0.000
Zn2 Zn 0.121 0.500 0.739
Zn3 Zn 0.333 0.000 0.668
Os1 Os 0.163 0.500 0.336
Os2 Os 0.283 0.000 0.078
Os3 Os 0.448 0.500 0.398
```

Entry 3:
This record from Alexandria describes a geometry-optimized Ag2WBr8 structure. The functional is GGA-PBE.

Values from the calculation:
Energy relative to the elements, uncorrected: -301 meV/atom

Geometry as CIF:
```
data_Ag2WBr8
_chemical_formula_sum 'Ag4 W2 Br16'
_symmetry_space_group_name_H-M 'C 1 2/m 1'
_symmetry_Int_Tables_number 12
_symmetry_space_group_name_Hall '-C 2y'
_cell_length_a 15.191
_cell_length_b 7.106
_cell_length_c 6.845
_cell_angle_alpha 90.00
_cell_angle_beta 97.53
_cell_angle_gamma 90.00
loop_
_atom_site_label
_atom_site_type_symbol
_atom_site_fract_x
_atom_site_fract_y
_atom_site_fract_z
Ag1 Ag 0.181 0.000 0.024
W1 W 0.000 0.000 0.500
Br1 Br 0.051 0.244 0.748
Br2 Br 0.151 0.000 0.393
Br3 Br 0.188 0.500 0.167
```

Entry 4:
This record from Alexandria describes a geometry-optimized HfGaB structure. The functional is GGA-PBE.

Values from the calculation:
Formation enthalpy at 0 K: -17.6 meV per atom

Geometry as CIF:
```
data_HfGaB
_chemical_formula_sum 'Hf6 Ga6 B6'
_symmetry_space_group_name_H-M 'R -3 m'
_symmetry_Int_Tables_number 166
_symmetry_space_group_name_Hall '-R 3 2"'
_cell_length_a 4.0651
_cell_length_b 4.0651
_cell_length_c 21.2680
_cell_angle_alpha 90.00
_cell_angle_beta 90.00
_cell_angle_gamma 120.00
loop_
_atom_site_label
_atom_site_type_symbol
_atom_site_fract_x
_atom_site_fract_y
_atom_site_fract_z
Hf1 Hf 0.0000 0.0000 0.1089
Ga1 Ga 0.0000 0.0000 0.3128
B1 B 0.0000 0.0000 0.2145
```

Entry 5:
This record from Alexandria describes a geometry-optimized LaYSbI2 structure. The functional is GGA-PBE.

Values from the calculation:
Energy relative to the elements, uncorrected: -573 meV/atom

Geometry as CIF:
```
data_LaYSbI2
_chemical_formula_sum 'La1 Y1 Sb1 I2'
_symmetry_space_group_name_H-M 'P 4/m m m'
_symmetry_Int_Tables_number 123
_symmetry_space_group_name_Hall '-P 4 2'
_cell_length_a 5.764
_cell_length_b 5.764
_cell_length_c 6.015
_cell_angle_alpha 90.00
_cell_angle_beta 90.00
_cell_angle_gamma 90.00
loop_
_atom_site_label
_atom_site_type_symbol
_atom_site_fract_x
_atom_site_fract_y
_atom_site_fract_z
La1 La 0.000 0.000 0.000
Y1 Y 0.500 0.500 0.500
Sb1 Sb 0.500 0.500 0.000
I1 I 0.000 0.500 0.500
```

Entry 6:
This record from Alexandria describes a geometry-optimized YGa2Pd6 structure. The functional is GGA-PBE.

Values from the calculation:
Formation enthalpy at 0 K: -550.0 meV per atom

Geometry as CIF:
```
data_YGa2Pd6
_chemical_formula_sum 'Y1 Ga2 Pd6'
_symmetry_space_group_name_H-M 'P 6/m m m'
_symmetry_Int_Tables_number 191
_symmetry_space_group_name_Hall '-P 6 2'
_cell_length_a 5.5294
_cell_length_b 5.5294
_cell_length_c 6.6191
_cell_angle_alpha 90.00
_cell_angle_beta 90.00
_cell_angle_gamma 120.00
loop_
_atom_site_label
_atom_site_type_symbol
_atom_site_fract_x
_atom_site_fract_y
_atom_site_fract_z
Y1 Y 0.0000 0.0000 0.0000
Ga1 Ga 0.3333 0.6667 0.5000
Pd1 Pd 0.0000 0.5000 0.2054
```

Entry 7:
This record from Alexandria describes a geometry-optimized TlCrBr2 structure. The functional is GGA-PBE.

Values from the calculation:
Energy relative to the elements, uncorrected: -332 meV/atom

Geometry as CIF:
```
data_TlCrBr2
_chemical_formula_sum 'Tl1 Cr1 Br2'
_symmetry_space_group_name_H-M 'P 1 2/m 1'
_symmetry_Int_Tables_number 10
_symmetry_space_group_name_Hall '-P 2y'
_cell_length_a 4.231
_cell_length_b 3.830
_cell_length_c 7.714
_cell_angle_alpha 90.00
_cell_angle_beta 101.64
_cell_angle_gamma 90.00
loop_
_atom_site_label
_atom_site_type_symbol
_atom_site_fract_x
_atom_site_fract_y
_atom_site_fract_z
Tl1 Tl 0.000 0.000 0.000
Cr1 Cr 0.500 0.000 0.500
Br1 Br 0.386 0.500 0.718
```

Entry 8:
This record from Alexandria describes a geometry-optimized BaSiW2 structure. The functional is GGA-PBE.

Values from the calculation:
Energy relative to the elements, uncorrected: 1599 meV/atom

Geometry as CIF:
```
data_BaSiW2
_chemical_formula_sum 'Ba2 Si2 W4'
_symmetry_space_group_name_H-M 'C m m m'
_symmetry_Int_Tables_number 65
_symmetry_space_group_name_Hall '-C 2 2'
_cell_length_a 5.941
_cell_length_b 9.900
_cell_length_c 2.795
_cell_angle_alpha 90.00
_cell_angle_beta 90.00
_cell_angle_gamma 90.00
loop_
_atom_site_label
_atom_site_type_symbol
_atom_site_fract_x
_atom_site_fract_y
_atom_site_fract_z
Ba1 Ba 0.000 0.000 0.000
Si1 Si 0.000 0.500 0.000
W1 W 0.250 0.250 0.500
```

Entry 9:
This record from Alexandria describes a geometry-optimized PrNd2YHo5 structure. The functional is GGA-PBE.

Values from the calculation:
Formation enthalpy at 0 K: 260.3 meV per atom

Geometry as CIF:
```
data_PrNd2YHo5
_chemical_formula_sum 'Pr4 Nd8 Y4 Ho20'
_symmetry_space_group_name_H-M 'I 4/m c m'
_symmetry_Int_Tables_number 140
_symmetry_space_group_name_Hall '-I 4 2c'
_cell_length_a 8.760
_cell_length_b 8.760
_cell_length_c 15.487
_cell_angle_alpha 90.00
_cell_angle_beta 90.00
_cell_angle_gamma 90.00
loop_
_atom_site_label
_atom_site_type_symbol
_atom_site_fract_x
_atom_site_fract_y
_atom_site_fract_z
Pr1 Pr 0.000 0.000 0.250
Nd1 Nd 0.117 0.383 0.000
Y1 Y 0.000 0.500 0.250
Ho1 Ho 0.000 0.000 0.000
Ho2 Ho 0.211 0.289 0.363
```

Entry 10:
This record from Alexandria describes a geometry-optimized Ba5Cr structure. The functional is GGA-PBE.

Values from the calculation:
Formation enthalpy at 0 K: 288.2 meV per atom

Geometry as CIF:
```
data_Ba5Cr
_chemical_formula_sum 'Ba5 Cr1'
_symmetry_space_group_name_H-M 'P 4/m m m'
_symmetry_Int_Tables_number 123
_symmetry_space_group_name_Hall '-P 4 2'
_cell_length_a 4.326
_cell_length_b 4.326
_cell_length_c 17.424
_cell_angle_alpha 90.00
_cell_angle_beta 90.00
_cell_angle_gamma 90.00
loop_
_atom_site_label
_atom_site_type_symbol
_atom_site_fract_x
_atom_site_fract_y
_atom_site_fract_z
Ba1 Ba 0.000 0.000 0.000
Ba2 Ba 0.000 0.000 0.386
Ba3 Ba 0.500 0.500 0.193
Cr1 Cr 0.500 0.500 0.500
```

Entry 11:
This record from Alexandria describes a geometry-optimized FeTeMoH structure. The functional is GGA-PBE.

Geometry as CIF:
```
data_FeTeMoH
_chemical_formula_sum 'Fe2 Te2 Mo2 H2'
_symmetry_space_group_name_H-M 'I m m 2'
_symmetry_Int_Tables_number 44
_symmetry_space_group_name_Hall 'I 2 -2'
_cell_length_a 3.622
_cell_length_b 4.098
_cell_length_c 7.958
_cell_angle_alpha 90.00
_cell_angle_beta 90.00
_cell_angle_gamma 90.00
loop_
_atom_site_label
_atom_site_type_symbol
_atom_site_fract_x
_atom_site_fract_y
_atom_site_fract_z
Fe1 Fe 0.000 0.000 0.000
Te1 Te 0.000 0.000 0.565
Mo1 Mo 0.000 0.500 0.801
H1 H 0.000 0.000 0.221
```

Entry 12:
This record from Alexandria describes a geometry-optimized HoIn2Au8 structure. The functional is GGA-PBE.

Values from the calculation:
Formation enthalpy at 0 K: -251.7 meV per atom

Geometry as CIF:
```
data_HoIn2Au8
_chemical_formula_sum 'Ho2 In4 Au16'
_symmetry_space_group_name_H-M 'C 1 2/m 1'
_symmetry_Int_Tables_number 12
_symmetry_space_group_name_Hall '-C 2y'
_cell_length_a 8.683
_cell_length_b 11.732
_cell_length_c 4.861
_cell_angle_alpha 90.00
_cell_angle_beta 109.76
_cell_angle_gamma 90.00
loop_
_atom_site_label
_atom_site_type_symbol
_atom_site_fract_x
_atom_site_fract_y
_atom_site_fract_z
Ho1 Ho 0.000 0.000 0.000
In1 In 0.000 0.364 0.500
Au1 Au 0.000 0.249 0.000
Au2 Au 0.162 0.500 0.981
Au3 Au 0.172 0.138 0.551
```

no.,E_tot (eV per atom)
1,-3.594
2,-6.108
3,-3.214
4,-6.570
5,-4.296
6,-5.403
7,-4.166
8,-6.714
9,-4.592
10,-2.918
11,-6.095
12,-3.549